(1)
# La2HoEr5Tm, relaxed, DFT GGA-PBE
# ρ = 8.12 Mg/m³
# DFT formation energy = 139 meV/atom
# total magnetization = 0.00 μB per formula unit
data_La2HoEr5Tm
_cell_length_a 5.6094
_cell_length_b 19.7616
_cell_length_c 10.6785
_cell_angle_alpha 90.00
_cell_angle_beta 90.00
_cell_angle_gamma 90.00
_space_group_name_H-M_alt 'C m c 21'
_space_group_IT_number 36
_space_group_name_Hall 'C 2c -2'
loop_
_atom_site_label
_atom_site_type_symbol
_atom_site_fract_x
_atom_site_fract_y
_atom_site_fract_z
La1 La 0.0000 0.1121 0.0000
La2 La 0.0000 0.1153 0.5851
Ho1 Ho 0.0000 0.2005 0.2772
Er1 Er 0.0000 0.0168 0.2911
Er2 Er 0.0000 0.2819 0.5718
Er3 Er 0.0000 0.2999 0.9725
Er4 Er 0.0000 0.3890 0.2873
Er5 Er 0.0000 0.4803 0.0053
Tm1 Tm 0.0000 0.4127 0.7280

---

(2)
# LaHo2ErTm, relaxed, DFT GGA-PBE
# ρ = 7.89 Mg/m³
# DFT formation energy = 374 meV/atom
# total magnetization = 0.00 μB per formula unit
data_LaHo2ErTm
_cell_length_a 6.3664
_cell_length_b 16.7382
_cell_length_c 6.3578
_cell_angle_alpha 90.00
_cell_angle_beta 90.00
_cell_angle_gamma 90.00
_space_group_name_H-M_alt 'C m c m'
_space_group_IT_number 63
_space_group_name_Hall '-C 2c 2'
loop_
_atom_site_label
_atom_site_type_symbol
_atom_site_fract_x
_atom_site_fract_y
_atom_site_fract_z
La1 La 0.0000 0.1614 0.2500
Ho1 Ho 0.2494 0.0000 0.0000
Er1 Er 0.0000 0.3463 0.2500
Tm1 Tm 0.0000 0.2439 0.7500

---

(3)
# LaHoErTm, relaxed, DFT GGA-PBE
# ρ = 8.13 Mg/m³
# DFT formation energy = 106 meV/atom
# total magnetization = 0.00 μB per formula unit
data_LaHoErTm
_cell_length_a 8.0551
_cell_length_b 8.0551
_cell_length_c 8.0551
_cell_angle_alpha 90.00
_cell_angle_beta 90.00
_cell_angle_gamma 90.00
_space_group_name_H-M_alt 'F -4 3 m'
_space_group_IT_number 216
_space_group_name_Hall 'F -4 2 3'
loop_
_atom_site_label
_atom_site_type_symbol
_atom_site_fract_x
_atom_site_fract_y
_atom_site_fract_z
La1 La 0.0000 0.0000 0.0000
Ho1 Ho 0.0000 0.0000 0.5000
Er1 Er 0.2500 0.2500 0.2500
Tm1 Tm 0.2500 0.2500 0.7500

---

(4)
# La3HoEr2Tm6, relaxed, DFT GGA-PBE
# ρ = 8.41 Mg/m³
# DFT formation energy = 29 meV/atom
# total magnetization = 0.00 μB per formula unit
data_La3HoEr2Tm6
_cell_length_a 6.1751
_cell_length_b 10.6921
_cell_length_c 11.7297
_cell_angle_alpha 90.00
_cell_angle_beta 100.09
_cell_angle_gamma 90.00
_space_group_name_H-M_alt 'C 1 2/m 1'
_space_group_IT_number 12
_space_group_name_Hall '-C 2y'
loop_
_atom_site_label
_atom_site_type_symbol
_atom_site_fract_x
_atom_site_fract_y
_atom_site_fract_z
La1 La 0.0000 0.0000 0.0000
La2 La 0.0000 0.3332 0.0000
Ho1 Ho 0.0000 0.5000 0.5000
Er1 Er 0.0000 0.1666 0.5000
Tm1 Tm 0.2474 0.0000 0.7436
Tm2 Tm 0.2475 0.3333 0.7435

---

(5)
# LaHo5ErTm2, relaxed, DFT GGA-PBE
# ρ = 8.45 Mg/m³
# DFT formation energy = 173 meV/atom
# total magnetization = 0.00 μB per formula unit
data_LaHo5ErTm2
_cell_length_a 5.5839
_cell_length_b 19.7483
_cell_length_c 10.4657
_cell_angle_alpha 90.00
_cell_angle_beta 90.00
_cell_angle_gamma 90.00
_space_group_name_H-M_alt 'C m c 21'
_space_group_IT_number 36
_space_group_name_Hall 'C 2c -2'
loop_
_atom_site_label
_atom_site_type_symbol
_atom_site_fract_x
_atom_site_fract_y
_atom_site_fract_z
La1 La 0.0000 0.0828 0.0000
Ho1 Ho 0.0000 0.0213 0.2877
Ho2 Ho 0.0000 0.1145 0.5746
Ho3 Ho 0.0000 0.2025 0.2618
Ho4 Ho 0.0000 0.2200 0.8663
Ho5 Ho 0.0000 0.4831 0.5762
Er1 Er 0.0000 0.3010 0.5644
Tm1 Tm 0.0000 0.3870 0.8692
Tm2 Tm 0.0000 0.3882 0.2853

---

(6)
# LaHoEr2Tm5, relaxed, DFT GGA-PBE
# ρ = 8.54 Mg/m³
# DFT formation energy = 293 meV/atom
# total magnetization = 0.00 μB per formula unit
data_LaHoEr2Tm5
_cell_length_a 8.9523
_cell_length_b 8.9523
_cell_length_c 14.3989
_cell_angle_alpha 90.00
_cell_angle_beta 90.00
_cell_angle_gamma 90.00
_space_group_name_H-M_alt 'I 4/m c m'
_space_group_IT_number 140
_space_group_name_Hall '-I 4 2c'
loop_
_atom_site_label
_atom_site_type_symbol
_atom_site_fract_x
_atom_site_fract_y
_atom_site_fract_z
La1 La 0.0000 0.0000 0.2500
Ho1 Ho 0.0000 0.5000 0.2500
Er1 Er 0.1115 0.3885 0.0000
Tm1 Tm 0.0000 0.0000 0.0000
Tm2 Tm 0.2037 0.2963 0.3712

---

(7)
# LaHoErTm, relaxed, DFT GGA-PBE
# ρ = 8.28 Mg/m³
# DFT formation energy = 33 meV/atom
# total magnetization = 0.00 μB per formula unit
data_LaHoErTm
_cell_length_a 3.5726
_cell_length_b 3.5726
_cell_length_c 34.8273
_cell_angle_alpha 90.00
_cell_angle_beta 90.00
_cell_angle_gamma 120.00
_space_group_name_H-M_alt 'R 3 m'
_space_group_IT_number 160
_space_group_name_Hall 'R 3 -2"'
loop_
_atom_site_label
_atom_site_type_symbol
_atom_site_fract_x
_atom_site_fract_y
_atom_site_fract_z
La1 La 0.0000 0.0000 0.0000
Ho1 Ho 0.0000 0.0000 0.8341
Er1 Er 0.0000 0.0000 0.2477
Tm1 Tm 0.0000 0.0000 0.4201

---

(8)
# La2HoErTm2, relaxed, DFT GGA-PBE
# ρ = 7.96 Mg/m³
# DFT formation energy = 32 meV/atom
# total magnetization = 0.00 μB per formula unit
data_La2HoErTm2
_cell_length_a 5.7134
_cell_length_b 10.9431
_cell_length_c 6.3270
_cell_angle_alpha 90.00
_cell_angle_beta 90.00
_cell_angle_gamma 90.00
_space_group_name_H-M_alt 'P m c 21'
_space_group_IT_number 26
_space_group_name_Hall 'P 2c -2'
loop_
_atom_site_label
_atom_site_type_symbol
_atom_site_fract_x
_atom_site_fract_y
_atom_site_fract_z
La1 La 0.0000 0.0810 0.0000
La2 La 0.5000 0.2505 0.1706
Ho1 Ho 0.0000 0.2568 0.5070
Er1 Er 0.5000 0.4195 0.6676
Tm1 Tm 0.0000 0.4211 0.0002
Tm2 Tm 0.5000 0.0886 0.6697

---

(9)
# LaYHo5Er2, relaxed, DFT GGA-PBE
# ρ = 7.79 Mg/m³
# DFT formation energy = 291 meV/atom
# total magnetization = 0.01 μB per formula unit
data_LaYHo5Er2
_cell_length_a 9.0361
_cell_length_b 9.0361
_cell_length_c 14.4815
_cell_angle_alpha 90.00
_cell_angle_beta 90.00
_cell_angle_gamma 90.00
_space_group_name_H-M_alt 'I 4/m c m'
_space_group_IT_number 140
_space_group_name_Hall '-I 4 2c'
loop_
_atom_site_label
_atom_site_type_symbol
_atom_site_fract_x
_atom_site_fract_y
_atom_site_fract_z
La1 La 0.0000 0.0000 0.2500
Y1 Y 0.0000 0.5000 0.2500
Ho1 Ho 0.0000 0.0000 0.0000
Ho2 Ho 0.2036 0.2964 0.1279
Er1 Er 0.1109 0.3891 0.5000

---

(10)
# LaYHo2Er, relaxed, DFT GGA-PBE
# ρ = 6.87 Mg/m³
# DFT formation energy = 372 meV/atom
# total magnetization = 0.00 μB per formula unit
data_LaYHo2Er
_cell_length_a 8.4181
_cell_length_b 11.5052
_cell_length_c 7.2408
_cell_angle_alpha 90.00
_cell_angle_beta 90.00
_cell_angle_gamma 90.00
_space_group_name_H-M_alt 'C m c m'
_space_group_IT_number 63
_space_group_name_Hall '-C 2c 2'
loop_
_atom_site_label
_atom_site_type_symbol
_atom_site_fract_x
_atom_site_fract_y
_atom_site_fract_z
La1 La 0.0000 0.2316 0.2500
Y1 Y 0.0000 0.4973 0.7500
Ho1 Ho 0.1891 0.0000 0.0000
Er1 Er 0.0000 0.2170 0.7500

---

(11)
# La6YHoEr2, relaxed, DFT GGA-PBE
# ρ = 6.82 Mg/m³
# DFT formation energy = 117 meV/atom
# total magnetization = 0.00 μB per formula unit
data_La6YHoEr2
_cell_length_a 9.8051
_cell_length_b 15.2229
_cell_length_c 9.3018
_cell_angle_alpha 90.00
_cell_angle_beta 93.59
_cell_angle_gamma 90.00
_space_group_name_H-M_alt 'C 1 2/c 1'
_space_group_IT_number 15
_space_group_name_Hall '-C 2yc'
loop_
_atom_site_label
_atom_site_type_symbol
_atom_site_fract_x
_atom_site_fract_y
_atom_site_fract_z
La1 La 0.0744 0.1554 0.4190
La2 La 0.0787 0.3684 0.6065
La3 La 0.2373 0.2194 0.8192
Y1 Y 0.0000 0.0548 0.7500
Ho1 Ho 0.0000 0.4209 0.2500
Er1 Er 0.2479 0.0449 0.0633

---

(12)
# LaY6Ho2Er, relaxed, DFT GGA-PBE
# ρ = 5.92 Mg/m³
# DFT formation energy = 120 meV/atom
# total magnetization = 0.00 μB per formula unit
data_LaY6Ho2Er
_cell_length_a 9.2340
_cell_length_b 15.0585
_cell_length_c 9.4909
_cell_angle_alpha 90.00
_cell_angle_beta 95.76
_cell_angle_gamma 90.00
_space_group_name_H-M_alt 'C 1 2/c 1'
_space_group_IT_number 15
_space_group_name_Hall '-C 2yc'
loop_
_atom_site_label
_atom_site_type_symbol
_atom_site_fract_x
_atom_site_fract_y
_atom_site_fract_z
La1 La 0.0000 0.0313 0.2500
Y1 Y 0.0608 0.1830 0.9422
Y2 Y 0.0965 0.3883 0.1126
Y3 Y 0.2160 0.2256 0.3179
Ho1 Ho 0.2469 0.4480 0.4473
Er1 Er 0.0000 0.4120 0.7500

---

(13)
# LaYHo2Er2, relaxed, DFT GGA-PBE
# ρ = 7.73 Mg/m³
# DFT formation energy = 68 meV/atom
# total magnetization = 0.00 μB per formula unit
data_LaYHo2Er2
_cell_length_a 6.9419
_cell_length_b 9.8165
_cell_length_c 5.6242
_cell_angle_alpha 90.00
_cell_angle_beta 90.00
_cell_angle_gamma 90.00
_space_group_name_H-M_alt 'P n n m'
_space_group_IT_number 58
_space_group_name_Hall '-P 2 2n'
loop_
_atom_site_label
_atom_site_type_symbol
_atom_site_fract_x
_atom_site_fract_y
_atom_site_fract_z
La1 La 0.0000 0.0000 0.0000
Y1 Y 0.0000 0.5000 0.5000
Ho1 Ho 0.2482 0.3334 0.0000
Er1 Er 0.2485 0.6667 0.0000

---

(14)
# La2YHo2Er2, relaxed, DFT GGA-PBE
# ρ = 7.41 Mg/m³
# DFT formation energy = 53 meV/atom
# total magnetization = 0.00 μB per formula unit
data_La2YHo2Er2
_cell_length_a 16.9400
_cell_length_b 3.5530
_cell_length_c 8.7359
_cell_angle_alpha 90.00
_cell_angle_beta 118.49
_cell_angle_gamma 90.00
_space_group_name_H-M_alt 'C 1 2/m 1'
_space_group_IT_number 12
_space_group_name_Hall '-C 2y'
loop_
_atom_site_label
_atom_site_type_symbol
_atom_site_fract_x
_atom_site_fract_y
_atom_site_fract_z
La1 La 0.2056 0.0000 0.2876
Y1 Y 0.0000 0.5000 0.0000
Ho1 Ho 0.0700 0.5000 0.4303
Er1 Er 0.1337 0.0000 0.8274

---

(15)
# La3Y2Ho6Er, relaxed, DFT GGA-PBE
# ρ = 7.44 Mg/m³
# DFT formation energy = 25 meV/atom
# total magnetization = 0.00 μB per formula unit
data_La3Y2Ho6Er
_cell_length_a 6.2182
_cell_length_b 10.7718
_cell_length_c 11.8505
_cell_angle_alpha 90.00
_cell_angle_beta 100.07
_cell_angle_gamma 90.00
_space_group_name_H-M_alt 'C 1 2/m 1'
_space_group_IT_number 12
_space_group_name_Hall '-C 2y'
loop_
_atom_site_label
_atom_site_type_symbol
_atom_site_fract_x
_atom_site_fract_y
_atom_site_fract_z
La1 La 0.0000 0.0000 0.0000
La2 La 0.0000 0.3331 0.0000
Y1 Y 0.0000 0.1666 0.5000
Ho1 Ho 0.2474 0.3338 0.7446
Ho2 Ho 0.2488 0.0000 0.7448
Er1 Er 0.0000 0.5000 0.5000

---

(16)
# LaY2Ho5Er, relaxed, DFT GGA-PBE
# ρ = 7.43 Mg/m³
# DFT formation energy = 165 meV/atom
# total magnetization = 0.00 μB per formula unit
data_LaY2Ho5Er
_cell_length_a 5.6233
_cell_length_b 19.7241
_cell_length_c 10.5512
_cell_angle_alpha 90.00
_cell_angle_beta 90.00
_cell_angle_gamma 90.00
_space_group_name_H-M_alt 'C m c 21'
_space_group_IT_number 36
_space_group_name_Hall 'C 2c -2'
loop_
_atom_site_label
_atom_site_type_symbol
_atom_site_fract_x
_atom_site_fract_y
_atom_site_fract_z
La1 La 0.0000 0.0815 0.0000
Y1 Y 0.0000 0.3868 0.8658
Y2 Y 0.0000 0.3887 0.2792
Ho1 Ho 0.0000 0.0200 0.2837
Ho2 Ho 0.0000 0.1136 0.5690
Ho3 Ho 0.0000 0.2030 0.2557
Ho4 Ho 0.0000 0.2180 0.8601
Ho5 Ho 0.0000 0.4816 0.5725
Er1 Er 0.0000 0.2989 0.5587

---

(17)
# La2Y2HoEr, relaxed, DFT GGA-PBE
# ρ = 6.47 Mg/m³
# DFT formation energy = 253 meV/atom
# total magnetization = 0.00 μB per formula unit
data_La2Y2HoEr
_cell_length_a 6.7422
_cell_length_b 17.7214
_cell_length_c 3.3841
_cell_angle_alpha 90.00
_cell_angle_beta 90.00
_cell_angle_gamma 90.00
_space_group_name_H-M_alt 'P n n m'
_space_group_IT_number 58
_space_group_name_Hall '-P 2 2n'
loop_
_atom_site_label
_atom_site_type_symbol
_atom_site_fract_x
_atom_site_fract_y
_atom_site_fract_z
La1 La 0.2444 0.1526 0.0000
Y1 Y 0.2467 0.8284 0.0000
Ho1 Ho 0.0000 0.0000 0.5000
Er1 Er 0.0000 0.5000 0.5000

---

(18)
# La2YHo2Er, relaxed, DFT GGA-PBE
# ρ = 7.22 Mg/m³
# DFT formation energy = 67 meV/atom
# total magnetization = 0.00 μB per formula unit
data_La2YHo2Er
_cell_length_a 7.0877
_cell_length_b 5.6795
_cell_length_c 9.8739
_cell_angle_alpha 90.00
_cell_angle_beta 90.00
_cell_angle_gamma 90.00
_space_group_name_H-M_alt 'P m m a'
_space_group_IT_number 51
_space_group_name_Hall '-P 2a 2a'
loop_
_atom_site_label
_atom_site_type_symbol
_atom_site_fract_x
_atom_site_fract_y
_atom_site_fract_z
La1 La 0.0000 0.0000 0.0000
La2 La 0.2500 0.5000 0.1753
Y1 Y 0.0000 0.5000 0.5000
Ho1 Ho 0.2500 0.0000 0.3350
Ho2 Ho 0.2500 0.5000 0.8331
Er1 Er 0.2500 0.0000 0.6595

---

(19)
# La3Y6HoEr2, relaxed, DFT GGA-PBE
# ρ = 6.09 Mg/m³
# DFT formation energy = 24 meV/atom
# total magnetization = 0.00 μB per formula unit
data_La3Y6HoEr2
_cell_length_a 6.2435
_cell_length_b 10.8143
_cell_length_c 11.8995
_cell_angle_alpha 90.00
_cell_angle_beta 100.08
_cell_angle_gamma 90.00
_space_group_name_H-M_alt 'C 1 2/m 1'
_space_group_IT_number 12
_space_group_name_Hall '-C 2y'
loop_
_atom_site_label
_atom_site_type_symbol
_atom_site_fract_x
_atom_site_fract_y
_atom_site_fract_z
La1 La 0.0000 0.0000 0.0000
La2 La 0.0000 0.3332 0.0000
Y1 Y 0.2475 0.0000 0.7438
Y2 Y 0.2476 0.3333 0.7437
Ho1 Ho 0.0000 0.5000 0.5000
Er1 Er 0.0000 0.1667 0.5000

---

no.,E_tot (eV per atom)
1,-4.496
2,-4.250
3,-4.528
4,-4.580
5,-4.419
6,-4.262
7,-4.601
8,-4.624
9,-4.532
10,-4.650
11,-4.856
12,-5.623
13,-4.877
14,-4.890
15,-4.953
16,-4.870
17,-5.067
18,-4.939
19,-5.582